{"formula": "KSn2As2", "functional": "GGA-PBE", "state": "relaxed", "lattice": [[6.471, 0.157, 0.000], [-0.089, 7.795, 0.000], [-3.191, -3.976, 5.950]], "species": ["As", "As", "Sn", "Sn", "K", "K", "Sn", "As", "As", "Sn"], "frac_coords": [[0.228, 0.240, 0.500], [0.369, 0.369, 0.238], [0.137, 0.137, 0.774], [0.343, 0.782, 0.500], [0.788, 0.288, 0.075], [0.212, 0.712, 0.925], [0.863, 0.863, 0.226], [0.631, 0.631, 0.762], [0.772, 0.760, 0.500], [0.657, 0.218, 0.500]], "space_group": "C2/m, No. 12", "delta_e_f_ev_per_fu": -0.43, "n_ef_per_ev_cell": 3.1}